# 1
VASP calculation (PBE-GGA) on a relaxed structure of Be2SbAs.

abc: 6.170 6.170 6.170
angles: 34.23 34.23 34.23
Positions (direct):
Be1 0.000 0.000 0.000
Be2 0.290 0.290 0.290
Sb1 0.531 0.531 0.531
As1 0.722 0.722 0.722

The calculation puts the excess energy over the best structure of this formula in the dataset at 162 meV per atom. Its space group is No. 160. As for the formation energy from raw total energies: 0.301 eV per atom.



# 2
VASP calculation (PBE-GGA) on a relaxed structure of SbPRh2.

abc: 3.151 3.453 6.519
angles: 90.00 101.96 90.00
Positions (direct):
Sb1 0.000 0.000 0.000
P1 0.500 0.000 0.500
Rh1 0.354 0.500 0.695
Rh2 0.646 0.500 0.305

The calculation puts the excess energy over the best structure of this formula in the dataset at 254 meV per atom. Its space group is No. 10. As for the formation energy from raw total energies: -0.193 eV per atom.



# 3
VASP calculation (PBE-GGA) on a relaxed structure of LaTbY.

abc: 8.131 8.131 5.158
angles: 90.00 90.00 143.47
Positions (direct):
La1 0.082 0.918 0.750
La2 0.918 0.082 0.250
Tb1 0.415 0.585 0.750
Tb2 0.585 0.415 0.250
Y1 0.248 0.752 0.250
Y2 0.752 0.248 0.750

The calculation puts the excess energy over the best structure of this formula in the dataset at 14 meV per atom. The value obtained for the energy relative to the elements is 0.72 kcal/mol of atoms. Its space group is No. 63.



# 4
VASP calculation (PBE-GGA) on a relaxed structure of PrDyErAg.

abc: 3.645 3.645 8.630
angles: 90.00 90.00 90.00
Positions (direct):
Pr1 0.000 0.000 0.000
Dy1 0.500 0.500 0.705
Er1 0.500 0.500 0.293
Ag1 0.000 0.000 0.495

The calculation puts the excess energy over the best structure of this formula in the dataset at 0 meV per atom. The value obtained for the energy relative to the elements is -3.10 kcal/mol of atoms. Its space group is No. 99.



# 5
VASP calculation (PBE-GGA) on a relaxed structure of Pm6YCd5.

abc: 9.458 9.458 9.458
angles: 146.92 130.73 60.63
Positions (direct):
Pm1 0.072 0.329 0.743
Pm2 0.230 0.000 0.230
Pm3 0.415 0.671 0.743
Pm4 0.585 0.329 0.257
Pm5 0.770 0.000 0.770
Pm6 0.928 0.671 0.257
Y1 0.500 0.500 0.000
Cd1 0.000 0.500 0.500
Cd2 0.169 0.169 0.000
Cd3 0.347 0.847 0.500
Cd4 0.653 0.153 0.500
Cd5 0.831 0.831 0.000

The value obtained for the energy relative to the elements is -5.21 kcal/mol of atoms. Its space group is No. 71.



# 6
VASP calculation (PBE-GGA) on a relaxed structure of SrZrNi3.

abc: 4.690 4.690 4.690
angles: 90.00 90.00 90.00
Positions (direct):
Sr1 0.000 0.000 0.000
Zr1 0.500 0.500 0.500
Ni1 0.000 0.000 0.500
Ni2 0.000 0.500 0.000
Ni3 0.500 0.000 0.000

The calculation puts the excess energy over the best structure of this formula in the dataset at 978 meV per atom. The value obtained for the energy relative to the elements is 33.02 kcal/mol of atoms. Its space group is No. 221.



# 7
VASP calculation (PBE-GGA) on a relaxed structure of PrGa4Ni2Rh.

abc: 9.328 9.328 9.328
angles: 25.66 25.66 25.66
Positions (direct):
Pr1 0.000 0.000 0.000
Ga1 0.130 0.130 0.130
Ga2 0.404 0.404 0.404
Ga3 0.596 0.596 0.596
Ga4 0.870 0.870 0.870
Ni1 0.229 0.229 0.229
Ni2 0.771 0.771 0.771
Rh1 0.500 0.500 0.500

The value obtained for the energy relative to the elements is -12.31 kcal/mol of atoms. Its space group is No. 166.



# 8
VASP calculation (PBE-GGA) on a relaxed structure of Ca2YPb.

abc: 3.779 5.032 6.871
angles: 90.00 96.03 90.00
Positions (direct):
Ca1 0.050 0.000 0.262
Ca2 0.950 0.000 0.738
Y1 0.500 0.500 0.000
Pb1 0.500 0.500 0.500

The value obtained for the energy relative to the elements is -4.96 kcal/mol of atoms. Its space group is No. 10.



no.,total DFT energy (no corrections) (eV for the cell shown)
1,-15.02
2,-25.01
3,-31.86
4,-17.33
5,-42.25
6,-20.41
7,-40.07
8,-15.04